# Sc4Co2Ru

A relaxed Sc4Co2Ru crystal (GGA-PBE, the Alexandria database).

- ΔH_f (0 K): -0.32 eV/atom
- Electronic total energy: -7.29 eV per atom
- Crystal system: trigonal
- Space group: R-3m, No. 166
- Fermi-level density of states: 0.718 states/eV/atom
- Magnetization: 0.00 μB per formula unit

Cell: 7.5449 7.5449 7.5449 Å, 34.51 34.51 34.51°
Element x y z (fractional)
Sc (0.1217, 0.1217, 0.1217)
Sc (0.3731, 0.3731, 0.3731)
Sc (0.6269, 0.6269, 0.6269)
Sc (0.8783, 0.8783, 0.8783)
Co (0.2473, 0.2473, 0.2473)
Co (0.7527, 0.7527, 0.7527)
Ru (0.5000, 0.5000, 0.5000)